# TiCd3Br | Alexandria via LeMat-Bulk | PBE | relaxed
# **Final energy**: -1.94 eV per atom
# **Energy above the lowest structure with this stoichiometry**: 0.0 meV per atom
# **Formation energy from raw total energies**: 2.6 eV/f.u.
# **V**: 176.7 Å³/cell
data_TiCd3Br
_chemical_formula_sum 'Ti1 Cd3 Br1'
_cell_length_a 5.6115
_cell_length_b 5.6115
_cell_length_c 5.6115
_cell_angle_alpha 90.00
_cell_angle_beta 90.00
_cell_angle_gamma 90.00
_space_group_name_H-M_alt 'P m -3 m'
_space_group_IT_number 221
_space_group_name_Hall '-P 4 2 3'
loop_
_atom_site_label
_atom_site_type_symbol
_atom_site_fract_x
_atom_site_fract_y
_atom_site_fract_z
Ti1 Ti 0.0000 0.0000 0.0000
Cd1 Cd 0.0000 0.0000 0.5000
Br1 Br 0.5000 0.5000 0.5000